No. 1
{
  "formula": "SrSmEuNbO6",
  "functional": "PBE",
  "state": "relaxed",
  "cell": [[5.8585, 0.0000, 0.0000], [0.0008, 6.0314, 0.0000], [0.0501, 0.0277, 8.3757]],
  "species": ["Sr", "Sr", "Sm", "Sm", "Eu", "Eu", "Nb", "Nb", "O", "O", "O", "O", "O", "O", "O", "O", "O", "O", "O", "O"],
  "frac_coords": [[0.0117, 0.0470, 0.2482], [0.9883, 0.9530, 0.7518], [0.0000, 0.5000, 0.0000], [0.5000, 0.0000, 0.5000], [0.4841, 0.5500, 0.2507], [0.5159, 0.4500, 0.7493], [0.0000, 0.5000, 0.5000], [0.5000, 0.0000, 0.0000], [0.1054, 0.5324, 0.7313], [0.1867, 0.7757, 0.4430], [0.2202, 0.8113, 0.0470], [0.2781, 0.3107, 0.4471], [0.3174, 0.2797, 0.0586], [0.4043, 0.0417, 0.7682], [0.5957, 0.9583, 0.2318], [0.6826, 0.7203, 0.9414], [0.7219, 0.6893, 0.5529], [0.7798, 0.1887, 0.9530], [0.8133, 0.2243, 0.5570], [0.8946, 0.4676, 0.2687]],
  "n_ef_per_ev_atom": 1.618,
  "de_polymorph_ev_per_atom": 0.0000,
  "e_tot_ev_per_atom": -8.6540,
  "raw_formation_energy_ev_per_atom": -3.0045
}



No. 2
{
  "formula": "Cu2Pt2Rh",
  "functional": "PBE",
  "state": "relaxed",
  "cell": [[7.2280, 0.0000, 0.0000], [0.0000, 7.2280, 0.0000], [0.0000, 0.0000, 2.7582]],
  "species": ["Cu", "Cu", "Cu", "Cu", "Pt", "Pt", "Pt", "Pt", "Rh", "Rh"],
  "frac_coords": [[0.1182, 0.3818, 0.0000], [0.3818, 0.8818, 0.0000], [0.6182, 0.1182, 0.0000], [0.8818, 0.6182, 0.0000], [0.1800, 0.6800, 0.5000], [0.3200, 0.1800, 0.5000], [0.6800, 0.8200, 0.5000], [0.8200, 0.3200, 0.5000], [0.0000, 0.0000, 0.0000], [0.5000, 0.5000, 0.0000]],
  "n_ef_per_ev_atom": 1.201,
  "de_polymorph_ev_per_atom": 0.1567,
  "e_tot_ev_per_atom": -5.4077,
  "ef_ev_per_fu": 0.6
}



No. 3
{
  "formula": "Nd3Sn5Te12",
  "functional": "PBE",
  "state": "relaxed",
  "cell": [[-9.0684, 9.0684, 9.0684], [9.0684, -9.0684, 9.0684], [9.0684, 9.0684, -9.0684]],
  "species": ["Nd", "Nd", "Nd", "Nd", "Nd", "Nd", "Nd", "Nd", "Nd", "Nd", "Nd", "Nd", "Sn", "Sn", "Sn", "Sn", "Sn", "Sn", "Sn", "Sn", "Sn", "Sn", "Sn", "Sn", "Sn", "Sn", "Sn", "Sn", "Sn", "Sn", "Sn", "Sn", "Te", "Te", "Te", "Te", "Te", "Te", "Te", "Te", "Te", "Te", "Te", "Te", "Te", "Te", "Te", "Te", "Te", "Te", "Te", "Te", "Te", "Te", "Te", "Te", "Te", "Te", "Te", "Te", "Te", "Te", "Te", "Te", "Te", "Te", "Te", "Te", "Te", "Te", "Te", "Te", "Te", "Te", "Te", "Te", "Te", "Te", "Te", "Te"],
  "frac_coords": [[0.1250, 0.2500, 0.3750], [0.1250, 0.3750, 0.7500], [0.2500, 0.3750, 0.1250], [0.2500, 0.8750, 0.6250], [0.3750, 0.1250, 0.2500], [0.3750, 0.7500, 0.1250], [0.6250, 0.2500, 0.8750], [0.6250, 0.8750, 0.7500], [0.7500, 0.1250, 0.3750], [0.7500, 0.6250, 0.8750], [0.8750, 0.6250, 0.2500], [0.8750, 0.7500, 0.6250], [0.0000, 0.0000, 0.0000], [0.0000, 0.0000, 0.5000], [0.0000, 0.5000, 0.0000], [0.0000, 0.5000, 0.5000], [0.1250, 0.7500, 0.8750], [0.1250, 0.8750, 0.2500], [0.2500, 0.1250, 0.8750], [0.2500, 0.6250, 0.3750], [0.3750, 0.2500, 0.6250], [0.3750, 0.6250, 0.7500], [0.5000, 0.0000, 0.0000], [0.5000, 0.0000, 0.5000], [0.5000, 0.5000, 0.0000], [0.5000, 0.5000, 0.5000], [0.6250, 0.3750, 0.2500], [0.6250, 0.7500, 0.3750], [0.7500, 0.3750, 0.6250], [0.7500, 0.8750, 0.1250], [0.8750, 0.1250, 0.7500], [0.8750, 0.2500, 0.1250], [0.0497, 0.2221, 0.1364], [0.0497, 0.3276, 0.9133], [0.0858, 0.7221, 0.6724], [0.0858, 0.8636, 0.4133], [0.0867, 0.6364, 0.4142], [0.0867, 0.9503, 0.6724], [0.1364, 0.0497, 0.2221], [0.1364, 0.5867, 0.9142], [0.1724, 0.2221, 0.5858], [0.1724, 0.4503, 0.5867], [0.2221, 0.1364, 0.0497], [0.2221, 0.5858, 0.1724], [0.2779, 0.3276, 0.9142], [0.2779, 0.4503, 0.3636], [0.3276, 0.9133, 0.0497], [0.3276, 0.9142, 0.2779], [0.3636, 0.2779, 0.4503], [0.3636, 0.5858, 0.9133], [0.4133, 0.0858, 0.8636], [0.4133, 0.8276, 0.5497], [0.4142, 0.0867, 0.6364], [0.4142, 0.8276, 0.7779], [0.4503, 0.3636, 0.2779], [0.4503, 0.5867, 0.1724], [0.5497, 0.4133, 0.8276], [0.5497, 0.6364, 0.7221], [0.5858, 0.1724, 0.2221], [0.5858, 0.9133, 0.3636], [0.5867, 0.1724, 0.4503], [0.5867, 0.9142, 0.1364], [0.6364, 0.4142, 0.0867], [0.6364, 0.7221, 0.5497], [0.6724, 0.0858, 0.7221], [0.6724, 0.0867, 0.9503], [0.7221, 0.5497, 0.6364], [0.7221, 0.6724, 0.0858], [0.7779, 0.4142, 0.8276], [0.7779, 0.8636, 0.9503], [0.8276, 0.5497, 0.4133], [0.8276, 0.7779, 0.4142], [0.8636, 0.4133, 0.0858], [0.8636, 0.9503, 0.7779], [0.9133, 0.0497, 0.3276], [0.9133, 0.3636, 0.5858], [0.9142, 0.1364, 0.5867], [0.9142, 0.2779, 0.3276], [0.9503, 0.6724, 0.0867], [0.9503, 0.7779, 0.8636]],
  "n_ef_per_ev_atom": 0.418,
  "e_tot_ev_per_atom": -4.1918,
  "raw_formation_energy_ev_per_atom": -0.5909
}



No. 4
{
  "formula": "Tl2CrAgS4",
  "functional": "PBE",
  "state": "relaxed",
  "cell": [[0.0000, 6.7284, 10.6197], [2.9217, 0.0000, 10.6197], [2.9217, 6.7284, 0.0000]],
  "species": ["Tl", "Tl", "Tl", "Tl", "Cr", "Cr", "Ag", "Ag", "S", "S", "S", "S", "S", "S", "S", "S"],
  "frac_coords": [[0.0558, 0.0558, 0.6942], [0.3058, 0.3058, 0.9442], [0.6942, 0.6942, 0.0558], [0.9442, 0.9442, 0.3058], [0.1250, 0.1250, 0.1250], [0.8750, 0.8750, 0.8750], [0.3750, 0.3750, 0.3750], [0.6250, 0.6250, 0.6250], [0.0860, 0.2842, 0.3566], [0.2269, 0.6434, 0.7158], [0.2842, 0.0860, 0.7731], [0.3566, 0.7731, 0.0860], [0.6434, 0.2269, 0.9140], [0.7158, 0.9140, 0.2269], [0.7731, 0.3566, 0.2842], [0.9140, 0.7158, 0.6434]],
  "n_ef_per_ev_atom": 0.365,
  "e_tot_ev_per_atom": -4.5993,
  "raw_formation_energy_ev_per_atom": -0.3847
}



No. 5
{
  "formula": "KTl3Hg4",
  "functional": "PBE",
  "state": "relaxed",
  "cell": [[2.7783, 1.6040, 8.9526], [-2.7783, 1.6040, 8.9526], [0.0000, -3.2081, 8.9526]],
  "species": ["K", "Tl", "Tl", "Tl", "Hg", "Hg", "Hg", "Hg"],
  "frac_coords": [[0.0000, 0.0000, 0.0000], [0.2529, 0.2529, 0.2529], [0.5000, 0.5000, 0.5000], [0.7471, 0.7471, 0.7471], [0.1306, 0.1306, 0.1306], [0.3800, 0.3800, 0.3800], [0.6200, 0.6200, 0.6200], [0.8694, 0.8694, 0.8694]],
  "n_ef_per_ev_atom": 0.471,
  "e_tot_ev_per_atom": -1.2665,
  "ef_ev_per_fu": -0.7
}



No. 6
{
  "formula": "Ac6Bi3AsSe2",
  "functional": "PBE",
  "state": "relaxed",
  "cell": [[10.2185, -2.3488, 0.0000], [10.2185, 2.3488, 0.0000], [-2.1117, 0.0000, 9.1280]],
  "species": ["Ac", "Ac", "Ac", "Ac", "Ac", "Ac", "Bi", "Bi", "Bi", "As", "Se", "Se"],
  "frac_coords": [[0.0019, 0.0019, 0.2363], [0.3312, 0.3312, 0.4241], [0.3395, 0.3395, 0.9127], [0.6605, 0.6605, 0.0873], [0.6688, 0.6688, 0.5759], [0.9981, 0.9981, 0.7637], [0.1686, 0.1686, 0.8326], [0.5000, 0.5000, 0.5000], [0.8314, 0.8314, 0.1674], [0.5000, 0.5000, 0.0000], [0.1671, 0.1671, 0.3340], [0.8329, 0.8329, 0.6660]],
  "n_ef_per_ev_atom": 0.353,
  "e_tot_ev_per_atom": -5.3615,
  "raw_formation_energy_ev_per_atom": -1.3688
}



No. 7
{
  "formula": "RbPu2GeO8",
  "functional": "PBE",
  "state": "relaxed",
  "cell": [[4.5328, 0.0000, 0.0000], [-0.0317, 4.5850, 0.0000], [-0.5039, -1.8908, 9.3066]],
  "species": ["Rb", "Pu", "Pu", "Ge", "O", "O", "O", "O", "O", "O", "O", "O"],
  "frac_coords": [[0.0000, 0.0000, 0.0000], [0.4074, 0.4645, 0.6801], [0.5926, 0.5355, 0.3199], [0.0000, 0.0000, 0.5000], [0.1378, 0.7060, 0.3434], [0.2324, 0.9009, 0.6558], [0.3074, 0.2882, 0.4811], [0.4906, 0.6256, 0.8719], [0.5094, 0.3744, 0.1281], [0.6926, 0.7118, 0.5189], [0.7676, 0.0991, 0.3442], [0.8622, 0.2940, 0.6566]],
  "n_ef_per_ev_atom": 0.454,
  "e_tot_ev_per_atom": -8.2686,
  "raw_formation_energy_ev_per_atom": -2.1090
}



No. 8
{
  "formula": "MgAlNi2",
  "functional": "PBE",
  "state": "relaxed",
  "cell": [[4.5852, -1.3933, 0.0000], [4.5852, 1.3933, 0.0000], [-1.2820, 0.0000, 4.1279]],
  "species": ["Mg", "Al", "Ni", "Ni"],
  "frac_coords": [[0.0000, 0.0000, 0.0000], [0.7789, 0.7789, 0.3662], [0.2486, 0.2486, 0.8411], [0.5156, 0.5156, 0.5054]],
  "n_ef_per_ev_atom": 0.557,
  "e_tot_ev_per_atom": -4.5475,
  "ef_ev_per_fu": -1.3
}



No. 9
{
  "formula": "NdPa2Fe9",
  "functional": "PBE",
  "state": "relaxed",
  "cell": [[2.5215, 1.4558, 8.2010], [-2.5215, 1.4558, 8.2010], [0.0000, -2.9116, 8.2010]],
  "species": ["Nd", "Pa", "Pa", "Fe", "Fe", "Fe", "Fe", "Fe", "Fe", "Fe", "Fe", "Fe"],
  "frac_coords": [[0.0000, 0.0000, 0.0000], [0.1426, 0.1426, 0.1426], [0.8574, 0.8574, 0.8574], [0.0824, 0.5834, 0.5834], [0.3332, 0.3332, 0.3332], [0.4166, 0.4166, 0.9176], [0.4166, 0.9176, 0.4166], [0.5000, 0.5000, 0.5000], [0.5834, 0.0824, 0.5834], [0.5834, 0.5834, 0.0824], [0.6668, 0.6668, 0.6668], [0.9176, 0.4166, 0.4166]],
  "n_ef_per_ev_atom": 1.228,
  "e_tot_ev_per_atom": -8.4085,
  "ef_ev_per_fu": -1.0
}



No. 10
{
  "formula": "RbMg2B",
  "functional": "PBE",
  "state": "relaxed",
  "cell": [[6.5936, -1.9884, 0.0000], [6.5936, 1.9884, 0.0000], [-3.4837, 0.0000, 8.7107]],
  "species": ["Rb", "Rb", "Mg", "Mg", "Mg", "Mg", "B", "B"],
  "frac_coords": [[0.0000, 0.0000, 0.0000], [0.6870, 0.6870, 0.8152], [0.0894, 0.0894, 0.4580], [0.3688, 0.3688, 0.5846], [0.3873, 0.3873, 0.2762], [0.7159, 0.7159, 0.3327], [0.9080, 0.9080, 0.4441], [0.9755, 0.9755, 0.6221]],
  "n_ef_per_ev_atom": 0.280,
  "e_tot_ev_per_atom": -2.3736,
  "ef_ev_per_fu": 1.3
}